Entry from the Alexandria database: a relaxed ReSbTe2 crystal (PBE).

```
ReSbTe2
1.0
-3.876 5.720 1.309
-6.803 1.304 -1.211
5.259 -3.676 2.879
Re Sb Te
1 1 2
direct
0.510 0.510 0.000
0.330 0.830 0.500
0.981 0.981 0.000
0.678 0.178 0.500
```

SG ... Imm2, No. 44
Total magnetization ... 0.00 Bohr magnetons per cell
ΔE_f (raw) ... 41.1 kJ/mol of atoms
N(E_F) ... 2.24 states/eV/cell
VASP energy ... -5.287 eV per atom


Entry from the Alexandria database: a relaxed ReSbTe2 crystal (PBE).

```
ReSbTe2
1.0
-3.285 1.036 -0.742
1.267 -1.192 -7.273
-0.409 -4.145 -3.980
Re Sb Te
1 1 2
direct
0.500 0.500 0.500
0.000 0.000 0.500
0.000 0.000 0.000
0.500 0.500 0.000
```

SG ... P2/m, No. 10
Total magnetization ... 0.00 Bohr magnetons per cell
ΔE_f (raw) ... 82.3 kJ/mol of atoms
N(E_F) ... 4.18 states/eV/cell
VASP energy ... -4.861 eV per atom


Entry from the Alexandria database: a relaxed ReSbTe2 crystal (PBE).

```
ReSbTe2
1.0
5.241 -0.002 0.000
1.045 5.136 0.000
-3.143 -2.567 3.317
Re Sb Te
1 1 2
direct
0.500 0.500 0.000
0.750 0.250 0.500
0.000 0.000 0.000
0.250 0.750 0.500
```

SG ... I-4m2, No. 119
Total magnetization ... 0.00 Bohr magnetons per cell
ΔE_f (raw) ... 88.2 kJ/mol of atoms
N(E_F) ... 2.45 states/eV/cell
VASP energy ... -4.799 eV per atom


Entry from the Alexandria database: a relaxed ReSbTe2 crystal (PBE).

```
ReSbTe2
1.0
-2.704 -1.354 -4.146
-2.512 -3.964 -2.078
-7.268 0.394 1.172
Re Sb Te
1 1 2
direct
0.473 0.473 0.374
0.188 0.188 0.375
0.013 0.013 0.056
0.825 0.825 0.694
```

SG ... Cm, No. 8
Total magnetization ... 0.00 Bohr magnetons per cell
ΔE_f (raw) ... 25.8 kJ/mol of atoms
N(E_F) ... 1.65 states/eV/cell
VASP energy ... -5.446 eV per atom